(1)
# meta-GGA SCAN BaIn2Mo, PBEsol geometry
data_BaIn2Mo
_symmetry_space_group_name_H-M 'P 1'
_symmetry_Int_Tables_number 1
_symmetry_space_group_name_Hall 'P 1'
_cell_length_a 3.7004
_cell_length_b 3.7004
_cell_length_c 7.9061
_cell_angle_alpha 90.00
_cell_angle_beta 90.00
_cell_angle_gamma 90.00
loop_
_atom_site_label
_atom_site_fract_x
_atom_site_fract_y
_atom_site_fract_z
Ba1 0.0000 0.0000 0.0000
In1 0.0000 0.0000 0.5800
In2 0.5000 0.5000 0.3359
Mo1 0.5000 0.5000 0.6853
# **Calculated volume**: 27.06 Å³/atom
# **Density of states at the Fermi level**: 3.2 states/eV/f.u.
# **Calculated formation energy**: 0.43 eV per atom


(2)
# meta-GGA SCAN BaSr3Pt, PBEsol geometry
data_BaSr3Pt
_symmetry_space_group_name_H-M 'P 1'
_symmetry_Int_Tables_number 1
_symmetry_space_group_name_Hall 'P 1'
_cell_length_a 5.7848
_cell_length_b 5.7848
_cell_length_c 5.7848
_cell_angle_alpha 90.00
_cell_angle_beta 90.00
_cell_angle_gamma 90.00
loop_
_atom_site_label
_atom_site_fract_x
_atom_site_fract_y
_atom_site_fract_z
Ba1 0.0000 0.0000 0.0000
Sr1 0.0000 0.0000 0.5000
Sr2 0.0000 0.5000 0.0000
Sr3 0.5000 0.0000 0.0000
Pt1 0.5000 0.5000 0.5000
# **Calculated volume**: 38.72 Å³/atom
# **Density of states at the Fermi level**: 5.8 states/eV/f.u.
# **Calculated formation energy**: 1.30 eV per atom


(3)
# meta-GGA SCAN Tb3AlC, PBEsol geometry
data_Tb3AlC
_symmetry_space_group_name_H-M 'P 1'
_symmetry_Int_Tables_number 1
_symmetry_space_group_name_Hall 'P 1'
_cell_length_a 4.8526
_cell_length_b 4.8526
_cell_length_c 4.8526
_cell_angle_alpha 90.00
_cell_angle_beta 90.00
_cell_angle_gamma 90.00
loop_
_atom_site_label
_atom_site_fract_x
_atom_site_fract_y
_atom_site_fract_z
Tb1 0.0000 0.0000 0.5000
Tb2 0.0000 0.5000 0.0000
Tb3 0.5000 0.0000 0.0000
Al1 0.5000 0.5000 0.5000
C1 0.0000 0.0000 0.0000
# **Calculated volume**: 22.85 Å³/atom
# **Density of states at the Fermi level**: 1.1 states/eV/f.u.
# **Calculated formation energy**: -0.45 eV per atom


(4)
# meta-GGA SCAN As3P, PBEsol geometry
data_As3P
_symmetry_space_group_name_H-M 'P 1'
_symmetry_Int_Tables_number 1
_symmetry_space_group_name_Hall 'P 1'
_cell_length_a 5.9271
_cell_length_b 5.9271
_cell_length_c 5.9271
_cell_angle_alpha 143.64
_cell_angle_beta 143.64
_cell_angle_gamma 52.37
loop_
_atom_site_label
_atom_site_fract_x
_atom_site_fract_y
_atom_site_fract_z
As1 0.0000 0.0000 0.0000
As2 0.2500 0.7500 0.5000
As3 0.7500 0.2500 0.5000
P1 0.5000 0.5000 0.0000
# **Calculated volume**: 18.19 Å³/atom
# **Density of states at the Fermi level**: 2.0 states/eV/f.u.
# **Calculated formation energy**: 0.63 eV per atom


(5)
# meta-GGA SCAN Ta5Mo3, PBEsol geometry
data_Ta5Mo3
_symmetry_space_group_name_H-M 'P 1'
_symmetry_Int_Tables_number 1
_symmetry_space_group_name_Hall 'P 1'
_cell_length_a 3.1953
_cell_length_b 6.4105
_cell_length_c 6.4942
_cell_angle_alpha 90.00
_cell_angle_beta 90.00
_cell_angle_gamma 90.00
loop_
_atom_site_label
_atom_site_fract_x
_atom_site_fract_y
_atom_site_fract_z
Ta1 0.0000 0.0000 0.0000
Ta2 0.0000 0.0000 0.4824
Ta3 0.0000 0.5000 0.4774
Ta4 0.5000 0.2546 0.7426
Ta5 0.5000 0.7454 0.7426
Mo1 0.0000 0.5000 0.9937
Mo2 0.5000 0.2531 0.2347
Mo3 0.5000 0.7469 0.2347
# **Calculated volume**: 16.63 Å³/atom
# **Density of states at the Fermi level**: 6.9 states/eV/f.u.
# **Calculated formation energy**: -0.13 eV per atom


(6)
# meta-GGA SCAN ZrBr3, PBEsol geometry
data_ZrBr3
_symmetry_space_group_name_H-M 'P 1'
_symmetry_Int_Tables_number 1
_symmetry_space_group_name_Hall 'P 1'
_cell_length_a 6.5952
_cell_length_b 6.5952
_cell_length_c 6.5952
_cell_angle_alpha 150.45
_cell_angle_beta 69.20
_cell_angle_gamma 119.02
loop_
_atom_site_label
_atom_site_fract_x
_atom_site_fract_y
_atom_site_fract_z
Zr1 0.0000 0.0000 0.0000
Br1 0.3224 0.6579 0.6645
Br2 0.6895 0.1895 0.5000
Br3 0.9934 0.6579 0.3355
# **Energy relative to the elements, uncorrected**: -1448 meV/atom
# **Calculated volume**: 30.55 Å³/atom
# **Density of states at the Fermi level**: 1.0 states/eV/f.u.


(7)
# meta-GGA SCAN KMoP2O8, PBEsol geometry
data_KMoP2O8
_symmetry_space_group_name_H-M 'P 1'
_symmetry_Int_Tables_number 1
_symmetry_space_group_name_Hall 'P 1'
_cell_length_a 5.1025
_cell_length_b 11.7561
_cell_length_c 12.5498
_cell_angle_alpha 90.00
_cell_angle_beta 112.83
_cell_angle_gamma 90.00
loop_
_atom_site_label
_atom_site_fract_x
_atom_site_fract_y
_atom_site_fract_z
K1 0.1771 0.1325 0.4486
K2 0.1771 0.3675 0.9486
K3 0.8229 0.6325 0.0514
K4 0.8229 0.8675 0.5514
Mo1 0.4071 0.1204 0.1663
Mo2 0.4071 0.3796 0.6663
Mo3 0.5929 0.6204 0.3337
Mo4 0.5929 0.8796 0.8337
P1 0.1107 0.0623 0.8649
P2 0.1107 0.4377 0.3649
P3 0.1154 0.6930 0.8521
P4 0.1154 0.8070 0.3521
P5 0.8846 0.1930 0.6479
P6 0.8846 0.3070 0.1479
P7 0.8893 0.5623 0.6351
P8 0.8893 0.9377 0.1351
O1 0.0469 0.2120 0.1154
O2 0.0469 0.2880 0.6154
O3 0.0672 0.1743 0.7856
O4 0.0672 0.3257 0.2856
O5 0.1434 0.5858 0.9190
O6 0.1434 0.9142 0.4190
O7 0.1890 0.5258 0.6483
O8 0.1890 0.9742 0.1483
O9 0.2473 0.5289 0.3165
O10 0.2473 0.9711 0.8165
O11 0.2933 0.1044 0.9841
O12 0.2933 0.3956 0.4841
O13 0.4069 0.7376 0.8594
O14 0.4069 0.7624 0.3594
O15 0.4911 0.1363 0.3084
O16 0.4911 0.3637 0.8084
O17 0.5089 0.6363 0.1916
O18 0.5089 0.8637 0.6916
O19 0.5931 0.2376 0.6406
O20 0.5931 0.2624 0.1406
O21 0.7067 0.6044 0.5159
O22 0.7067 0.8956 0.0159
O23 0.7527 0.0289 0.1835
O24 0.7527 0.4711 0.6835
O25 0.8110 0.0258 0.8517
O26 0.8110 0.4742 0.3517
O27 0.8566 0.0858 0.5810
O28 0.8566 0.4142 0.0810
O29 0.9328 0.6743 0.7144
O30 0.9328 0.8257 0.2144
O31 0.9531 0.7120 0.3846
O32 0.9531 0.7880 0.8846
# **Energy relative to the elements, uncorrected**: -2396 meV/atom
# **Calculated volume**: 14.45 Å³/atom


(8)
# meta-GGA SCAN SiTe2As, PBEsol geometry
data_SiTe2As
_symmetry_space_group_name_H-M 'P 1'
_symmetry_Int_Tables_number 1
_symmetry_space_group_name_Hall 'P 1'
_cell_length_a 4.9838
_cell_length_b 4.9838
_cell_length_c 4.9838
_cell_angle_alpha 60.00
_cell_angle_beta 60.00
_cell_angle_gamma 60.00
loop_
_atom_site_label
_atom_site_fract_x
_atom_site_fract_y
_atom_site_fract_z
Si1 0.0000 0.0000 0.0000
Te1 0.2500 0.2500 0.2500
Te2 0.7500 0.7500 0.7500
As1 0.5000 0.5000 0.5000
# **Energy relative to the elements, uncorrected**: 565 meV/atom
# **Calculated volume**: 21.88 Å³/atom
# **Density of states at the Fermi level**: 1.8 states/eV/f.u.